No. 1
Compound: Ca2MgFe
Source: the Alexandria database
Functional: PBE
Structure: relaxed

```
data_Ca2MgFe
_cell_length_a 8.210
_cell_length_b 8.210
_cell_length_c 6.547
_cell_angle_alpha 51.17
_cell_angle_beta 51.17
_cell_angle_gamma 90.00
_space_group_name_H-M_alt 'P 1'
_space_group_IT_number 1
_space_group_name_Hall 'P 1'
loop_
_atom_site_label
_atom_site_fract_x
_atom_site_fract_y
_atom_site_fract_z
_atom_site_occupancy
Ca1 0.067 0.625 0.250 1
Ca2 0.683 0.125 0.250 1
Ca3 0.375 0.317 0.750 1
Ca4 0.875 0.933 0.750 1
Mg1 0.500 0.500 0.000 1
Mg2 0.250 0.750 0.500 1
Fe1 0.750 0.250 0.500 1
Fe2 0.000 0.000 0.000 1
```

Calculated values
Electronic total energy: -2.81 eV per atom

=====

No. 2
Compound: BaCaNd
Source: the Alexandria database
Functional: PBE
Structure: relaxed

```
data_BaCaNd
_cell_length_a 3.934
_cell_length_b 3.938
_cell_length_c 19.584
_cell_angle_alpha 90.00
_cell_angle_beta 90.00
_cell_angle_gamma 119.97
_space_group_name_H-M_alt 'P 1'
_space_group_IT_number 1
_space_group_name_Hall 'P 1'
loop_
_atom_site_label
_atom_site_fract_x
_atom_site_fract_y
_atom_site_fract_z
_atom_site_occupancy
Ca1 0.609 0.218 0.000 1
Ca2 0.282 0.564 0.500 1
Ba1 0.611 0.223 0.679 1
Ba2 0.611 0.223 0.321 1
Nd1 0.277 0.553 0.846 1
Nd2 0.277 0.553 0.154 1
```

Calculated values
Excess energy over the best structure of this formula in the dataset: 0.092 eV/atom

=====

No. 3
Compound: ScGa3Os
Source: the Alexandria database
Functional: PBE
Structure: relaxed

```
data_ScGa3Os
_cell_length_a 4.742
_cell_length_b 4.742
_cell_length_c 4.742
_cell_angle_alpha 90.00
_cell_angle_beta 90.00
_cell_angle_gamma 90.00
_space_group_name_H-M_alt 'P 1'
_space_group_IT_number 1
_space_group_name_Hall 'P 1'
loop_
_atom_site_label
_atom_site_fract_x
_atom_site_fract_y
_atom_site_fract_z
_atom_site_occupancy
Ga1 0.500 0.000 0.000 1
Ga2 0.000 0.500 0.000 1
Ga3 0.000 0.000 0.500 1
Os1 0.000 0.000 0.000 1
Sc1 0.500 0.500 0.500 1
```

Calculated values
Excess energy over the best structure of this formula in the dataset: 0.547 eV/atom

=====

No. 4
Compound: PrDyZn4
Source: the Alexandria database
Functional: PBE
Structure: relaxed

```
data_PrDyZn4
_cell_length_a 4.518
_cell_length_b 4.518
_cell_length_c 8.585
_cell_angle_alpha 74.53
_cell_angle_beta 74.54
_cell_angle_gamma 119.97
_space_group_name_H-M_alt 'P 1'
_space_group_IT_number 1
_space_group_name_Hall 'P 1'
loop_
_atom_site_label
_atom_site_fract_x
_atom_site_fract_y
_atom_site_fract_z
_atom_site_occupancy
Zn1 0.562 0.892 0.271 1
Zn2 0.896 0.559 0.270 1
Zn3 0.107 0.436 0.726 1
Zn4 0.440 0.102 0.726 1
Dy1 0.001 0.997 0.498 1
Pr1 0.501 0.497 0.998 1
```

Calculated values
Excess energy over the best structure of this formula in the dataset: 0.000 eV/atom

=====

No. 5
Compound: K3IrBr7
Source: the Alexandria database
Functional: PBE
Structure: relaxed

```
data_K3IrBr7
_cell_length_a 7.062
_cell_length_b 7.062
_cell_length_c 8.071
_cell_angle_alpha 81.23
_cell_angle_beta 81.23
_cell_angle_gamma 95.13
_space_group_name_H-M_alt 'P 1'
_space_group_IT_number 1
_space_group_name_Hall 'P 1'
loop_
_atom_site_label
_atom_site_fract_x
_atom_site_fract_y
_atom_site_fract_z
_atom_site_occupancy
Br1 0.685 0.029 0.138 1
Br2 0.165 0.165 0.201 1
Br3 0.029 0.685 0.138 1
Br4 0.338 0.000 0.808 1
Br5 0.854 0.854 0.770 1
Br6 0.593 0.593 0.515 1
Br7 0.000 0.338 0.808 1
K1 0.762 0.199 0.484 1
K2 0.199 0.762 0.484 1
K3 0.489 0.489 0.927 1
Ir1 0.012 0.012 0.979 1
```

Calculated values
Uncorrected formation energy: -11.01 eV/f.u.

=====

No. 6
Compound: RbBaCd2H
Source: the Alexandria database
Functional: PBE
Structure: relaxed

```
data_RbBaCd2H
_cell_length_a 5.713
_cell_length_b 5.032
_cell_length_c 5.713
_cell_angle_alpha 90.00
_cell_angle_beta 90.00
_cell_angle_gamma 90.00
_space_group_name_H-M_alt 'P 1'
_space_group_IT_number 1
_space_group_name_Hall 'P 1'
loop_
_atom_site_label
_atom_site_fract_x
_atom_site_fract_y
_atom_site_fract_z
_atom_site_occupancy
Ba1 0.500 0.500 0.500 1
Rb1 0.000 0.500 0.000 1
Cd1 0.500 0.000 0.000 1
Cd2 0.000 0.000 0.500 1
H1 0.000 0.000 0.000 1
```

Calculated values
Electronic total energy: -1.48 eV per atom

=====

No. 7
Compound: CdGaHg2Te4
Source: the Alexandria database
Functional: PBE
Structure: relaxed

```
data_CdGaHg2Te4
_cell_length_a 6.608
_cell_length_b 6.608
_cell_length_c 8.134
_cell_angle_alpha 113.94
_cell_angle_beta 113.94
_cell_angle_gamma 90.06
_space_group_name_H-M_alt 'P 1'
_space_group_IT_number 1
_space_group_name_Hall 'P 1'
loop_
_atom_site_label
_atom_site_fract_x
_atom_site_fract_y
_atom_site_fract_z
_atom_site_occupancy
Te1 0.862 0.378 0.240 1
Te2 0.139 0.139 0.760 1
Te3 0.378 0.862 0.240 1
Te4 0.621 0.621 0.760 1
Ga1 0.500 0.500 0.000 1
Cd1 0.000 0.000 0.000 1
Hg1 0.750 0.250 0.500 1
Hg2 0.250 0.750 0.500 1
```

Calculated values
Uncorrected formation energy: -1.74 eV/f.u.

=====

No. 8
Compound: TlAsCl
Source: the Alexandria database
Functional: PBE
Structure: relaxed

```
data_TlAsCl
_cell_length_a 7.265
_cell_length_b 7.071
_cell_length_c 3.346
_cell_angle_alpha 79.75
_cell_angle_beta 73.30
_cell_angle_gamma 26.95
_space_group_name_H-M_alt 'P 1'
_space_group_IT_number 1
_space_group_name_Hall 'P 1'
loop_
_atom_site_label
_atom_site_fract_x
_atom_site_fract_y
_atom_site_fract_z
_atom_site_occupancy
Tl1 0.329 0.329 0.671 1
Cl1 0.674 0.674 0.326 1
As1 0.997 0.997 0.003 1
```

Calculated values
Uncorrected formation energy: 0.34 eV/f.u.
Excess energy over the best structure of this formula in the dataset: 0.220 eV/atom

=====

No. 9
Compound: YThHgRh
Source: the Alexandria database
Functional: PBE
Structure: relaxed

```
data_YThHgRh
_cell_length_a 5.166
_cell_length_b 5.166
_cell_length_c 5.166
_cell_angle_alpha 60.00
_cell_angle_beta 60.00
_cell_angle_gamma 60.00
_space_group_name_H-M_alt 'P 1'
_space_group_IT_number 1
_space_group_name_Hall 'P 1'
loop_
_atom_site_label
_atom_site_fract_x
_atom_site_fract_y
_atom_site_fract_z
_atom_site_occupancy
Y1 0.500 0.500 0.500 1
Th1 0.000 0.000 0.000 1
Rh1 0.750 0.750 0.750 1
Hg1 0.250 0.250 0.250 1
```

Calculated values
Excess energy over the best structure of this formula in the dataset: 0.101 eV/atom

=====

No. 10
Compound: CsTbMgI6
Source: the Alexandria database
Functional: PBE
Structure: relaxed

```
data_CsTbMgI6
_cell_length_a 7.777
_cell_length_b 7.776
_cell_length_c 8.754
_cell_angle_alpha 90.00
_cell_angle_beta 90.00
_cell_angle_gamma 59.99
_space_group_name_H-M_alt 'P 1'
_space_group_IT_number 1
_space_group_name_Hall 'P 1'
loop_
_atom_site_label
_atom_site_fract_x
_atom_site_fract_y
_atom_site_fract_z
_atom_site_occupancy
I1 0.009 0.624 0.698 1
I2 0.367 0.009 0.698 1
I3 0.009 0.367 0.301 1
I4 0.367 0.624 0.301 1
I5 0.624 0.367 0.698 1
I6 0.624 0.009 0.302 1
Mg1 0.333 0.333 0.500 1
Tb1 0.667 0.667 0.500 1
Cs1 0.000 0.000 0.000 1
```

Calculated values
Uncorrected formation energy: -11.87 eV/f.u.

=====

No. 11
Compound: La2HgBi
Source: the Alexandria database
Functional: PBE
Structure: relaxed

```
data_La2HgBi
_cell_length_a 4.533
_cell_length_b 4.533
_cell_length_c 8.410
_cell_angle_alpha 74.37
_cell_angle_beta 74.37
_cell_angle_gamma 60.00
_space_group_name_H-M_alt 'P 1'
_space_group_IT_number 1
_space_group_name_Hall 'P 1'
loop_
_atom_site_label
_atom_site_fract_x
_atom_site_fract_y
_atom_site_fract_z
_atom_site_occupancy
La1 0.248 0.248 0.256 1
La2 0.752 0.752 0.744 1
Hg1 0.000 0.000 0.000 1
Bi1 0.500 0.500 0.500 1
```

Calculated values
Excess energy over the best structure of this formula in the dataset: 0.061 eV/atom

=====

No. 12
Compound: LiSiBr
Source: the Alexandria database
Functional: PBE
Structure: relaxed

```
data_LiSiBr
_cell_length_a 4.552
_cell_length_b 4.552
_cell_length_c 4.552
_cell_angle_alpha 60.00
_cell_angle_beta 60.00
_cell_angle_gamma 60.00
_space_group_name_H-M_alt 'P 1'
_space_group_IT_number 1
_space_group_name_Hall 'P 1'
loop_
_atom_site_label
_atom_site_fract_x
_atom_site_fract_y
_atom_site_fract_z
_atom_site_occupancy
Li1 0.750 0.750 0.750 1
Si1 0.000 0.000 0.000 1
Br1 0.500 0.500 0.500 1
```

Calculated values
Uncorrected formation energy: 0.89 eV/f.u.
Excess energy over the best structure of this formula in the dataset: 0.940 eV/atom